# 1
## Tm2ScGa2 (PBE)

Data for an optimized crystal structure of Tm2ScGa2.

**Energy of formation**: -0.547 eV/atom
**ΔE to the lowest computed polymorph**: 0.0000 eV/atom

a b c (Å): 7.4281 7.4281 4.1834
angles (deg): 90.00 90.00 90.00
Fractional positions:
1 Tm 0.1752 0.3248 0.0000
2 Tm 0.3248 0.8248 0.0000
3 Tm 0.6752 0.1752 0.0000
4 Tm 0.8248 0.6752 0.0000
5 Sc 0.0000 0.0000 0.5000
6 Sc 0.5000 0.5000 0.5000
7 Ga 0.1239 0.6239 0.5000
8 Ga 0.3761 0.1239 0.5000
9 Ga 0.6239 0.8761 0.5000
10 Ga 0.8761 0.3761 0.5000

# 2
## Tm3ScGa8 (PBE)

Data for an optimized crystal structure of Tm3ScGa8.

**Energy of formation**: -0.517 eV/atom

a b c (Å): 9.4725 9.4725 9.4725
angles (deg): 33.14 33.14 33.14
Fractional positions:
1 Tm 0.0000 0.0000 0.0000
2 Tm 0.1249 0.1249 0.1249
3 Tm 0.5020 0.5020 0.5020
4 Sc 0.6245 0.6245 0.6245
5 Ga 0.0618 0.5625 0.5625
6 Ga 0.0636 0.0636 0.5639
7 Ga 0.0636 0.5639 0.0636
8 Ga 0.3127 0.3127 0.3127
9 Ga 0.5625 0.0618 0.5625
10 Ga 0.5625 0.5625 0.0618
11 Ga 0.5639 0.0636 0.0636
12 Ga 0.8131 0.8131 0.8131

# 3
## TmSc5Ga4 (PBE)

Data for an optimized crystal structure of TmSc5Ga4.

**Energy of formation**: -0.472 eV/atom

a b c (Å): 3.3146 3.3146 18.7656
angles (deg): 90.00 90.00 90.00
Fractional positions:
1 Tm 0.0000 0.0000 0.0000
2 Sc 0.5000 0.5000 0.1308
3 Sc 0.5000 0.5000 0.3149
4 Sc 0.5000 0.5000 0.5000
5 Sc 0.5000 0.5000 0.6851
6 Sc 0.5000 0.5000 0.8692
7 Ga 0.0000 0.0000 0.2215
8 Ga 0.0000 0.0000 0.4074
9 Ga 0.0000 0.0000 0.5926
10 Ga 0.0000 0.0000 0.7785

# 4
## TmScGa2 (PBE)

Data for an optimized crystal structure of TmScGa2.

**Energy of formation**: -0.417 eV/atom
**ΔE to the lowest computed polymorph**: 0.1852 eV/atom

a b c (Å): 8.7846 8.7846 8.7846
angles (deg): 22.78 22.78 22.78
Fractional positions:
1 Tm 0.0000 0.0000 0.0000
2 Sc 0.5000 0.5000 0.5000
3 Ga 0.2469 0.2469 0.2469
4 Ga 0.7531 0.7531 0.7531

# 5
## TmSc3Ga2 (PBE)

Data for an optimized crystal structure of TmSc3Ga2.

**Energy of formation**: -0.463 eV/atom
**ΔE to the lowest computed polymorph**: 0.0000 eV/atom

a b c (Å): 4.6023 8.9645 6.3348
angles (deg): 90.00 90.00 90.00
Fractional positions:
1 Tm 0.0000 0.0485 0.0000
2 Tm 0.0000 0.9515 0.5000
3 Sc 0.0000 0.3168 0.6215
4 Sc 0.0000 0.6832 0.1215
5 Sc 0.5000 0.1964 0.2887
6 Sc 0.5000 0.4498 0.9091
7 Sc 0.5000 0.5502 0.4091
8 Sc 0.5000 0.8036 0.7887
9 Ga 0.0000 0.3705 0.1703
10 Ga 0.0000 0.6295 0.6703
11 Ga 0.5000 0.1339 0.7358
12 Ga 0.5000 0.8661 0.2358

# 6
## TmScGa4 (PBE)

Data for an optimized crystal structure of TmScGa4.

**Energy of formation**: -0.561 eV/atom
**ΔE to the lowest computed polymorph**: 0.0000 eV/atom

a b c (Å): 5.5402 5.5402 5.5402
angles (deg): 133.59 104.00 93.93
Fractional positions:
1 Tm 0.0000 0.0000 0.0000
2 Sc 0.5000 0.0000 0.5000
3 Ga 0.0924 0.3337 0.7588
4 Ga 0.4251 0.6663 0.7588
5 Ga 0.5749 0.3337 0.2412
6 Ga 0.9076 0.6663 0.2412

# 7
## TmSc4Ga4 (PBE)

Data for an optimized crystal structure of TmSc4Ga4.

**Energy of formation**: -0.323 eV/atom

a b c (Å): 8.7617 8.7617 5.5443
angles (deg): 90.00 90.00 90.00
Fractional positions:
1 Tm 0.2500 0.2500 0.2500
2 Tm 0.7500 0.7500 0.7500
3 Sc 0.0826 0.6512 0.1302
4 Sc 0.1512 0.9174 0.6302
5 Sc 0.3488 0.5826 0.6302
6 Sc 0.4174 0.8488 0.1302
7 Sc 0.5826 0.1512 0.8698
8 Sc 0.6512 0.4174 0.3698
9 Sc 0.8488 0.0826 0.3698
10 Sc 0.9174 0.3488 0.8698
11 Ga 0.0335 0.6128 0.6311
12 Ga 0.1128 0.9665 0.1311
13 Ga 0.3872 0.5335 0.1311
14 Ga 0.4665 0.8872 0.6311
15 Ga 0.5335 0.1128 0.3689
16 Ga 0.6128 0.4665 0.8689
17 Ga 0.8872 0.0335 0.8689
18 Ga 0.9665 0.3872 0.3689

# 8
## Tm5Sc2Ga5 (PBE)

Data for an optimized crystal structure of Tm5Sc2Ga5.

**Energy of formation**: -0.403 eV/atom

a b c (Å): 5.9619 5.9619 12.7343
angles (deg): 113.67 113.67 44.10
Fractional positions:
1 Tm 0.0000 0.0000 0.0000
2 Tm 0.3631 0.3631 0.5251
3 Tm 0.4128 0.4128 0.1937
4 Tm 0.5872 0.5872 0.8063
5 Tm 0.6369 0.6369 0.4749
6 Sc 0.2381 0.2381 0.7111
7 Sc 0.7619 0.7619 0.2889
8 Ga 0.0000 0.0000 0.5000
9 Ga 0.1076 0.1076 0.2950
10 Ga 0.2745 0.2745 0.9430
11 Ga 0.7255 0.7255 0.0570
12 Ga 0.8924 0.8924 0.7050

# 9
## TmSc2Ga (PBE)

Data for an optimized crystal structure of TmSc2Ga.

**Energy of formation**: -0.307 eV/atom
**ΔE to the lowest computed polymorph**: 0.0000 eV/atom

a b c (Å): 4.2630 4.3729 10.4476
angles (deg): 90.00 101.75 90.00
Fractional positions:
1 Tm 0.1944 0.2500 0.3901
2 Tm 0.8056 0.7500 0.6099
3 Sc 0.0594 0.7500 0.1194
4 Sc 0.4316 0.7500 0.8626
5 Sc 0.5684 0.2500 0.1374
6 Sc 0.9406 0.2500 0.8806
7 Ga 0.3416 0.2500 0.6811
8 Ga 0.6584 0.7500 0.3189

# 10
## TmSc5Ga2 (PBE)

Data for an optimized crystal structure of TmSc5Ga2.

**Energy of formation**: -0.233 eV/atom

a b c (Å): 7.0248 7.0248 7.0248
angles (deg): 144.85 103.37 87.20
Fractional positions:
1 Tm 0.0000 0.0000 0.0000
2 Sc 0.1568 0.3429 0.8139
3 Sc 0.4710 0.6571 0.8139
4 Sc 0.5000 0.0000 0.5000
5 Sc 0.5290 0.3429 0.1861
6 Sc 0.8432 0.6571 0.1861
7 Ga 0.2195 0.7195 0.5000
8 Ga 0.7805 0.2805 0.5000

# 11
## TmSc2Ga (PBE)

Data for an optimized crystal structure of TmSc2Ga.

**Energy of formation**: -0.278 eV/atom
**ΔE to the lowest computed polymorph**: 0.0298 eV/atom

a b c (Å): 5.9082 5.9082 8.4984
angles (deg): 90.00 90.00 139.23
Fractional positions:
1 Tm 0.0555 0.9445 0.7500
2 Tm 0.9445 0.0555 0.2500
3 Sc 0.3553 0.6447 0.5569
4 Sc 0.3553 0.6447 0.9431
5 Sc 0.6447 0.3553 0.0569
6 Sc 0.6447 0.3553 0.4431
7 Ga 0.2450 0.7550 0.2500
8 Ga 0.7550 0.2450 0.7500

# 12
## TmSc3Ga2 (PBE)

Data for an optimized crystal structure of TmSc3Ga2.

**Energy of formation**: -0.400 eV/atom
**ΔE to the lowest computed polymorph**: 0.0638 eV/atom

a b c (Å): 8.6001 8.6001 8.8103
angles (deg): 120.77 120.77 29.54
Fractional positions:
1 Tm 0.1251 0.1251 0.1255
2 Tm 0.8749 0.8749 0.8745
3 Sc 0.0006 0.0006 0.6702
4 Sc 0.3278 0.3278 0.1345
5 Sc 0.3283 0.3283 0.5215
6 Sc 0.6717 0.6717 0.4785
7 Sc 0.6722 0.6722 0.8655
8 Sc 0.9994 0.9994 0.3298
9 Ga 0.2089 0.2089 0.7084
10 Ga 0.4999 0.4999 0.1431
11 Ga 0.5001 0.5001 0.8569
12 Ga 0.7911 0.7911 0.2916

> What is the formula in the twelfth record?

TmSc3Ga2